## Fe3NiO (PBE with a Hubbard U)

Data for a relaxed structure of Fe3NiO.

Cell lengths 4.492, 4.492, 4.492 Å; angles 90.00, 90.00, 90.00 degrees
Fractional coordinates of all 5 atoms:
O  0.500  0.500  0.500
Fe  0.500  0.000  0.000
Fe  0.000  0.000  0.500
Fe  0.000  0.500  0.000
Ni  0.000  0.000  0.000

ΔE to the lowest computed polymorph, meV/atom: 1040
Space-group type: Pm-3m, No. 221
N(E_F), states/eV per cell: 2.7


## Fe2NiO (PBE with a Hubbard U)

Data for a relaxed structure of Fe2NiO.

Cell lengths 5.929, 5.929, 5.084 Å; angles 54.34, 54.34, 90.00 degrees
Fractional coordinates of all 8 atoms:
O  0.500  0.500  0.000
O  0.250  0.750  0.500
Fe  0.572  0.125  0.250
Fe  0.375  0.428  0.750
Fe  0.178  0.625  0.250
Fe  0.875  0.822  0.750
Ni  0.000  0.000  0.000
Ni  0.750  0.250  0.500

Electronic total energy, eV/atom: -4.32
Space-group type: I-42d, No. 122
N(E_F), states/eV per cell: 2.4


## FeNi2O4 (PBE with a Hubbard U)

Data for a relaxed structure of FeNi2O4.

Cell lengths 5.927, 5.927, 5.927 Å; angles 120.01, 90.00, 119.99 degrees
Fractional coordinates of all 14 atoms:
O  0.244  0.987  0.731
O  0.756  0.013  0.744
O  0.756  0.487  0.744
O  0.244  0.987  0.256
O  0.244  0.513  0.256
O  0.231  0.487  0.744
O  0.769  0.513  0.256
O  0.756  0.013  0.269
Fe  0.625  0.750  0.875
Fe  0.375  0.250  0.125
Ni  0.000  0.500  0.500
Ni  0.000  0.000  0.500
Ni  0.500  0.000  0.500
Ni  0.000  0.500  0.000

Electronic total energy, eV/atom: -5.46
Space-group type: Fd-3m, No. 227
N(E_F), states/eV per cell: 7.1


## Fe3NiO (PBE with a Hubbard U)

Data for a relaxed structure of Fe3NiO.

Cell lengths 4.131, 4.131, 4.131 Å; angles 90.00, 90.00, 90.00 degrees
Fractional coordinates of all 5 atoms:
Fe  0.000  0.000  0.500
Fe  0.000  0.500  0.000
Fe  0.500  0.000  0.000
O  0.000  0.000  0.000
Ni  0.500  0.500  0.500

ΔE to the lowest computed polymorph, meV/atom: 0
Space-group type: Pm-3m, No. 221
N(E_F), states/eV per cell: 2.2


## Fe2NiO4 (PBE with a Hubbard U)

Data for a relaxed structure of Fe2NiO4.

Cell lengths 5.978, 5.906, 6.006 Å; angles 119.10, 120.95, 60.71 degrees
Fractional coordinates of all 14 atoms:
Fe  0.375  0.375  0.125
Fe  0.741  0.759  0.241
Fe  0.375  0.875  0.625
Fe  0.009  0.991  0.009
O  0.614  0.609  0.361
O  0.136  0.120  0.401
O  0.614  0.630  0.849
O  0.612  0.111  0.859
O  0.605  0.151  0.370
O  0.145  0.599  0.880
O  0.138  0.639  0.391
O  0.136  0.141  0.889
Ni  0.375  0.375  0.625
Ni  0.875  0.375  0.625

ΔE to the lowest computed polymorph, meV/atom: 0
Space-group type: C2/c, No. 15


## FeNi2O (PBE with a Hubbard U)

Data for a relaxed structure of FeNi2O.

Cell lengths 4.384, 4.384, 6.711 Å; angles 70.93, 70.93, 90.00 degrees
Fractional coordinates of all 8 atoms:
Ni  0.875  0.516  0.750
Ni  0.484  0.625  0.250
Ni  0.375  0.734  0.750
Ni  0.266  0.125  0.250
O  0.500  0.500  0.000
O  0.250  0.750  0.500
Fe  0.750  0.250  0.500
Fe  0.000  0.000  0.000

Electronic total energy, eV/atom: -3.36
Space-group type: I-42d, No. 122
N(E_F), states/eV per cell: 5.5


## Fe2NiO4 (PBE with a Hubbard U)

Data for a relaxed structure of Fe2NiO4.

Cell lengths 5.838, 5.838, 5.838 Å; angles 60.00, 60.00, 60.00 degrees
Fractional coordinates of all 14 atoms:
O  0.366  0.902  0.366
O  0.884  0.884  0.348
O  0.366  0.366  0.366
O  0.884  0.348  0.884
O  0.884  0.884  0.884
O  0.366  0.366  0.902
O  0.348  0.884  0.884
O  0.902  0.366  0.366
Fe  0.625  0.125  0.125
Fe  0.125  0.125  0.125
Fe  0.125  0.625  0.125
Fe  0.125  0.125  0.625
Ni  0.750  0.750  0.750
Ni  0.500  0.500  0.500

ΔE to the lowest computed polymorph, meV/atom: 631
Space-group type: Fd-3m, No. 227
N(E_F), states/eV per cell: 6.0


## Fe7Ni6O16 (PBE with a Hubbard U)

Data for a relaxed structure of Fe7Ni6O16.

Cell lengths 6.011, 6.011, 10.288 Å; angles 73.41, 73.41, 60.40 degrees
Fractional coordinates of all 29 atoms:
O  0.617  0.617  0.127
O  0.116  0.116  0.638
O  0.119  0.640  0.635
O  0.881  0.360  0.365
O  0.378  0.860  0.878
O  0.640  0.119  0.635
O  0.860  0.378  0.878
O  0.621  0.621  0.629
O  0.379  0.379  0.371
O  0.383  0.383  0.873
O  0.622  0.140  0.122
O  0.360  0.881  0.365
O  0.140  0.622  0.122
O  0.122  0.122  0.126
O  0.884  0.884  0.362
O  0.878  0.878  0.874
Ni  0.500  0.500  0.000
Ni  0.000  0.000  0.000
Ni  0.252  0.252  0.251
Ni  0.500  0.000  0.000
Ni  0.748  0.748  0.749
Ni  0.000  0.500  0.000
Fe  0.738  0.250  0.249
Fe  0.313  0.313  0.576
Fe  0.250  0.738  0.249
Fe  0.687  0.687  0.424
Fe  0.000  0.000  0.500
Fe  0.262  0.750  0.751
Fe  0.750  0.262  0.751

Electronic total energy, eV/atom: -5.87
Space-group type: C2/m, No. 12


## FeNi3P4O16 (PBE with a Hubbard U)

Data for a relaxed structure of FeNi3P4O16.

Cell lengths 5.787, 4.831, 9.898 Å; angles 89.89, 90.00, 90.00 degrees
Fractional coordinates of all 24 atoms:
O  0.792  0.264  0.664
O  0.207  0.231  0.163
O  0.292  0.763  0.836
O  0.500  0.668  0.060
O  0.710  0.747  0.335
O  0.000  0.694  0.118
O  0.000  0.800  0.614
O  0.500  0.206  0.388
O  0.208  0.264  0.664
O  0.793  0.231  0.163
O  0.290  0.747  0.335
O  0.000  0.328  0.939
O  0.500  0.299  0.887
O  0.500  0.830  0.559
O  0.708  0.763  0.836
O  0.000  0.166  0.441
P  0.000  0.383  0.091
P  0.500  0.891  0.407
P  0.500  0.613  0.907
P  0.000  0.115  0.594
Ni  0.000  0.561  0.774
Ni  0.500  0.435  0.225
Ni  0.500  0.061  0.726
Fe  0.000  0.942  0.273

Electronic total energy, eV/atom: -6.40
Space-group type: Pm, No. 6
N(E_F), states/eV per cell: 12.2


## FeNiP2O8 (PBE with a Hubbard U)

Data for a relaxed structure of FeNiP2O8.

Cell lengths 8.507, 8.507, 8.507 Å; angles 60.73, 60.73, 60.73 degrees
Fractional coordinates of all 36 atoms:
Ni  0.001  0.001  0.001
Ni  0.141  0.141  0.141
Ni  0.500  0.500  0.500
O  0.680  0.499  0.889
O  0.009  0.155  0.406
O  0.545  0.762  0.413
O  0.927  0.099  0.753
O  0.317  0.504  0.113
O  0.072  0.899  0.247
O  0.588  0.456  0.240
O  0.456  0.240  0.588
O  0.499  0.889  0.680
O  0.504  0.113  0.317
O  0.247  0.072  0.899
O  0.406  0.009  0.155
O  0.598  0.989  0.842
O  0.113  0.317  0.504
O  0.899  0.247  0.072
O  0.240  0.588  0.456
O  0.889  0.680  0.499
O  0.099  0.753  0.927
O  0.155  0.406  0.009
O  0.762  0.413  0.545
O  0.413  0.545  0.762
O  0.842  0.598  0.989
O  0.989  0.842  0.598
O  0.753  0.927  0.099
Fe  0.643  0.643  0.643
Fe  0.857  0.857  0.857
Fe  0.358  0.358  0.358
P  0.751  0.450  0.046
P  0.549  0.955  0.249
P  0.249  0.549  0.955
P  0.046  0.751  0.450
P  0.450  0.046  0.751
P  0.955  0.249  0.549

ΔE to the lowest computed polymorph, meV/atom: 0
Space-group type: R3, No. 146
N(E_F), states/eV per cell: 14.9


## FeNiP2O8 (PBE with a Hubbard U)

Data for a relaxed structure of FeNiP2O8.

Cell lengths 8.435, 8.435, 8.435 Å; angles 61.08, 61.08, 61.08 degrees
Fractional coordinates of all 36 atoms:
Fe  0.998  0.998  0.998
Fe  0.142  0.142  0.142
Fe  0.500  0.500  0.500
O  0.735  0.388  0.584
O  0.824  0.607  0.005
O  0.635  0.539  0.916
O  0.916  0.635  0.539
O  0.005  0.824  0.607
O  0.457  0.084  0.370
O  0.267  0.614  0.410
O  0.995  0.175  0.391
O  0.969  0.095  0.737
O  0.035  0.909  0.259
O  0.391  0.995  0.175
O  0.737  0.969  0.095
O  0.410  0.267  0.614
O  0.614  0.410  0.267
O  0.175  0.391  0.995
O  0.584  0.735  0.388
O  0.084  0.370  0.457
O  0.388  0.584  0.735
O  0.909  0.259  0.035
O  0.539  0.916  0.635
O  0.370  0.457  0.084
O  0.259  0.035  0.909
O  0.607  0.005  0.824
O  0.095  0.737  0.969
P  0.947  0.255  0.543
P  0.455  0.055  0.747
P  0.055  0.747  0.455
P  0.255  0.543  0.947
P  0.747  0.455  0.055
P  0.543  0.947  0.255
Ni  0.641  0.641  0.641
Ni  0.359  0.359  0.359
Ni  0.860  0.860  0.860

ΔE to the lowest computed polymorph, meV/atom: 31
Space-group type: R3, No. 146


## Fe5NiP6O24 (PBE with a Hubbard U)

Data for a relaxed structure of Fe5NiP6O24.

Cell lengths 8.463, 8.463, 8.463 Å; angles 61.27, 61.27, 61.27 degrees
Fractional coordinates of all 36 atoms:
Fe  0.500  0.500  0.500
Fe  0.355  0.355  0.355
Fe  0.999  0.999  0.999
Fe  0.143  0.143  0.143
Fe  0.645  0.645  0.645
O  0.002  0.395  0.168
O  0.901  0.069  0.249
O  0.930  0.750  0.101
O  0.750  0.101  0.930
O  0.549  0.411  0.754
O  0.892  0.499  0.677
O  0.411  0.754  0.549
O  0.395  0.168  0.002
O  0.589  0.246  0.450
O  0.249  0.901  0.069
O  0.107  0.501  0.323
O  0.168  0.002  0.395
O  0.501  0.323  0.107
O  0.599  0.838  0.999
O  0.069  0.249  0.901
O  0.677  0.892  0.499
O  0.499  0.677  0.892
O  0.101  0.930  0.750
O  0.323  0.107  0.501
O  0.246  0.450  0.589
O  0.450  0.589  0.246
O  0.754  0.549  0.411
O  0.838  0.999  0.599
O  0.999  0.599  0.838
Ni  0.858  0.858  0.858
P  0.547  0.249  0.953
P  0.751  0.046  0.454
P  0.046  0.454  0.751
P  0.454  0.751  0.046
P  0.953  0.547  0.249
P  0.249  0.953  0.547

Electronic total energy, eV/atom: -6.83
Space-group type: R3, No. 146
N(E_F), states/eV per cell: 13.5